VASP calculation (PBE-GGA) on a relaxed structure of Ho11Cd9Pt4.

Cell lengths 14.572, 21.990, 3.628 Å; angles 90.00, 90.00, 90.00 degrees
Space group Cmmm (No. 65)
Asymmetric unit:
1 Ho 0.000 0.000 0.000 [2 per cell]
2 Ho 0.000 0.162 0.000 [4 per cell]
3 Ho 0.000 0.371 0.000 [4 per cell]
4 Ho 0.195 0.500 0.000 [4 per cell]
5 Ho 0.246 0.169 0.000 [8 per cell]
6 Cd 0.000 0.500 0.500 [2 per cell]
7 Cd 0.105 0.260 0.500 [8 per cell]
8 Cd 0.141 0.072 0.500 [8 per cell]
9 Pt 0.150 0.400 0.500 [8 per cell]

Computed properties:
N(E_F) ... 0.818 states/eV per atom
Energy relative to the elements ... -676.7 meV per atom
Crystal system ... orthorhombic